The following is a PBE+U calculation of a relaxed ZrMnO3 crystal, from Alexandria.

Properties
For the electronic total energy, the calculation gives -8.646 eV/atom.

Cell and atoms, written as POSCAR:
```
ZrMnO3
1.0
5.666 0.000 0.000
-2.833 4.907 0.000
0.000 0.000 2.900
Zr Mn O
1 1 3
Direct
0.000 0.000 0.000 Zr
0.333 0.667 0.000 Mn
0.160 0.319 0.500 O
0.160 0.840 0.500 O
0.681 0.840 0.500 O
```